First-principles (PBE+U) data for VCdSeO6 after structural relaxation, as listed in the Alexandria database.

a = 5.0436 Å, b = 5.0436 Å, c = 9.7535 Å
α = 90.00°, β = 90.00°, γ = 120.00°
Last column: magnetic moment on the atom in μB.
Atoms (fractional coordinates):
O  0.6298  0.6121  0.6432  -0.01
O  0.6298  0.0178  0.8568  -0.01
O  0.3702  0.9822  0.1432  -0.01
O  0.9822  0.3702  0.6432  -0.01
O  0.0178  0.6298  0.3568  -0.01
V  0.6667  0.3333  0.2500  0.98
O  0.6121  0.9822  0.3568  -0.01
V  0.3333  0.6667  0.7500  0.98
O  0.3879  0.3702  0.8568  -0.01
Se  0.3333  0.6667  0.2500  0.03
O  0.9822  0.6121  0.8568  -0.01
O  0.3879  0.0178  0.6432  -0.01
O  0.6121  0.6298  0.1432  -0.01
O  0.3702  0.3879  0.3568  -0.01
Se  0.6667  0.3333  0.7500  0.03
Cd  0.0000  0.0000  0.0000  0.00
Cd  0.0000  0.0000  0.5000  0.00
O  0.0178  0.3879  0.1432  -0.01

Computed properties:
uncorrected energy = -5.801 eV/atom

=====

First-principles (PBE+U) data for CdWSe2O after structural relaxation, as listed in the Alexandria database.

a = 5.4477 Å, b = 3.7781 Å, c = 5.4477 Å
α = 90.00°, β = 90.00°, γ = 90.00°
Last column: magnetic moment on the atom in μB.
Atoms (fractional coordinates):
Se  0.5000  0.0000  0.0000  -0.26
W  0.0000  0.5000  0.0000  2.42
O  0.0000  0.0000  0.0000  -0.34
Cd  0.5000  0.5000  0.5000  0.01
Se  0.0000  0.0000  0.5000  -0.38

Computed properties:
uncorrected energy = -3.824 eV/atom

=====

> uncorrected energy of number 2 (CdWSe2O)?

-3.824 eV/atom

=====

> The highest uncorrected energy belongs to which entry?

CdWSe2O